TmNbSi2O8 | PBE-GGA | relaxed

a b c (Å): 5.609 5.609 5.609
angles (deg): 106.56 106.56 115.46
Fractional coordinates of all 12 atoms:
Tm 0.000 0.000 0.000
Nb 0.250 0.750 0.500
Si 0.500 0.500 0.000
Si 0.750 0.250 0.500
O 0.328 0.136 0.808
O 0.328 0.520 0.192
O 0.385 0.061 0.324
O 0.480 0.672 0.808
O 0.736 0.061 0.676
O 0.864 0.672 0.192
O 0.939 0.264 0.324
O 0.939 0.615 0.676

formation energy from raw total energies: -2.89 eV/atom
E_tot: -8.309 eV per atom

=====

ScGaSeBr2 | PBE-GGA | relaxed

a b c (Å): 5.132 5.132 5.136
angles (deg): 90.00 90.00 90.00
Fractional coordinates of all 5 atoms:
Sc 0.000 0.000 0.000
Ga 0.500 0.500 0.500
Se 0.500 0.500 0.000
Br 0.000 0.500 0.500
Br 0.500 0.000 0.500

formation energy from raw total energies: -0.27 eV/atom
E_tot: -3.512 eV per atom

=====

ReOs3N | PBE-GGA | relaxed

a b c (Å): 4.715 4.715 4.715
angles (deg): 90.00 90.00 90.00
Fractional coordinates of all 5 atoms:
Re 0.000 0.000 0.000
Os 0.000 0.000 0.500
Os 0.000 0.500 0.000
Os 0.500 0.000 0.000
N 0.500 0.500 0.500

formation energy from raw total energies: 3.54 eV/atom
E_tot: -7.353 eV per atom

=====

Al3Ag8 | PBE-GGA | relaxed

a b c (Å): 6.031 6.031 6.031
angles (deg): 93.48 93.48 93.48
Fractional coordinates of all 11 atoms:
Al 0.000 0.500 0.500
Al 0.500 0.000 0.500
Al 0.500 0.500 0.000
Ag 0.094 0.681 0.897
Ag 0.103 0.906 0.319
Ag 0.319 0.103 0.906
Ag 0.354 0.354 0.354
Ag 0.646 0.646 0.646
Ag 0.681 0.897 0.094
Ag 0.897 0.094 0.681
Ag 0.906 0.319 0.103

energy of formation: 0.256 eV/atom
E_tot: -2.839 eV per atom

=====

LiCrTc2 | PBE-GGA | relaxed

a b c (Å): 4.255 4.255 6.009
angles (deg): 90.00 90.00 90.00
Fractional coordinates of all 8 atoms:
Li 0.000 0.000 0.000
Li 0.500 0.500 0.500
Cr 0.000 0.500 0.250
Cr 0.500 0.000 0.750
Tc 0.000 0.000 0.500
Tc 0.000 0.500 0.750
Tc 0.500 0.000 0.250
Tc 0.500 0.500 0.000

energy of formation: 0.226 eV/atom
E_tot: -7.841 eV per atom

=====

Pu2Pb | PBE-GGA | relaxed

a b c (Å): 6.104 6.104 6.104
angles (deg): 60.00 60.00 60.00
Fractional coordinates of all 6 atoms:
Pu 0.000 0.000 0.000
Pu 0.000 0.000 0.500
Pu 0.000 0.500 0.000
Pu 0.500 0.000 0.000
Pb 0.375 0.375 0.375
Pb 0.625 0.625 0.625

energy of formation: 0.122 eV/atom
E_tot: -10.669 eV per atom